Record 1
# MgInHg2, relaxed, DFT PBE-GGA
# ΔE_f: -0.07 eV/atom
data_MgInHg2
_cell_length_a 6.1426
_cell_length_b 3.4814
_cell_length_c 9.2424
_cell_angle_alpha 90.00
_cell_angle_beta 98.89
_cell_angle_gamma 90.00
_symmetry_space_group_name_H-M 'C 1 m 1'
_symmetry_Int_Tables_number 8
_symmetry_space_group_name_Hall 'C -2y'
loop_
_atom_site_label
_atom_site_type_symbol
_atom_site_fract_x
_atom_site_fract_y
_atom_site_fract_z
Mg1 Mg 0.0000 0.0000 0.0000
In1 In 0.3475 0.5000 0.5018
Hg1 Hg 0.2597 0.0000 0.7658
Hg2 Hg 0.4136 0.0000 0.2356

Record 2
# CsSiS2O8, relaxed, DFT PBE-GGA
# E_form (uncorrected): -1706 kJ/mol of formula units
data_CsSiS2O8
_cell_length_a 8.2296
_cell_length_b 5.2287
_cell_length_c 8.7639
_cell_angle_alpha 90.00
_cell_angle_beta 96.14
_cell_angle_gamma 90.00
_symmetry_space_group_name_H-M 'C 1 2/m 1'
_symmetry_Int_Tables_number 12
_symmetry_space_group_name_Hall '-C 2y'
loop_
_atom_site_label
_atom_site_type_symbol
_atom_site_fract_x
_atom_site_fract_y
_atom_site_fract_z
Cs1 Cs 0.0000 0.0000 0.0000
Si1 Si 0.0000 0.0000 0.5000
S1 S 0.1265 0.5000 0.3219
O1 O 0.0223 0.2635 0.3445
O2 O 0.1802 0.5000 0.1680
O3 O 0.2329 0.0000 0.5536

Record 3
# Pr2Al4Pd3Rh, relaxed, DFT PBE-GGA
# ΔE_f: -0.86 eV/atom
data_Pr2Al4Pd3Rh
_cell_length_a 4.3665
_cell_length_b 4.3665
_cell_length_c 10.1368
_cell_angle_alpha 90.00
_cell_angle_beta 90.00
_cell_angle_gamma 90.00
_symmetry_space_group_name_H-M 'P -4 m 2'
_symmetry_Int_Tables_number 115
_symmetry_space_group_name_Hall 'P -4 -2'
loop_
_atom_site_label
_atom_site_type_symbol
_atom_site_fract_x
_atom_site_fract_y
_atom_site_fract_z
Pr1 Pr 0.0000 0.5000 0.2460
Al1 Al 0.0000 0.0000 0.5000
Al2 Al 0.0000 0.5000 0.8779
Al3 Al 0.5000 0.5000 0.5000
Pd1 Pd 0.0000 0.0000 0.0000
Pd2 Pd 0.0000 0.5000 0.6304
Rh1 Rh 0.5000 0.5000 0.0000

Record 4
# Sr2CaLa, relaxed, DFT PBE-GGA
# ΔE_f: 0.12 eV/atom
# E above lowest polymorph: 35 meV/atom
data_Sr2CaLa
_cell_length_a 3.9458
_cell_length_b 5.8106
_cell_length_c 8.0731
_cell_angle_alpha 90.00
_cell_angle_beta 90.00
_cell_angle_gamma 90.00
_symmetry_space_group_name_H-M 'P m m 2'
_symmetry_Int_Tables_number 25
_symmetry_space_group_name_Hall 'P 2 -2'
loop_
_atom_site_label
_atom_site_type_symbol
_atom_site_fract_x
_atom_site_fract_y
_atom_site_fract_z
Sr1 Sr 0.0000 0.0000 0.0000
Sr2 Sr 0.5000 0.5000 0.2695
Ca1 Ca 0.0000 0.0000 0.5267
La1 La 0.5000 0.5000 0.7542

Record 5
# TiGaRh2, relaxed, DFT PBE-GGA
# ΔE_f: -0.49 eV/atom
data_TiGaRh2
_cell_length_a 4.0885
_cell_length_b 4.0885
_cell_length_c 13.5426
_cell_angle_alpha 90.00
_cell_angle_beta 90.00
_cell_angle_gamma 120.00
_symmetry_space_group_name_H-M 'R 3 m'
_symmetry_Int_Tables_number 160
_symmetry_space_group_name_Hall 'R 3 -2"'
loop_
_atom_site_label
_atom_site_type_symbol
_atom_site_fract_x
_atom_site_fract_y
_atom_site_fract_z
Ti1 Ti 0.0000 0.0000 0.0000
Ga1 Ga 0.0000 0.0000 0.8027
Rh1 Rh 0.0000 0.0000 0.3868
Rh2 Rh 0.0000 0.0000 0.5870

Record 6
# H2AuCl, relaxed, DFT PBE-GGA
# E above lowest polymorph: 0 meV/atom
data_H2AuCl
_cell_length_a 5.0545
_cell_length_b 5.0545
_cell_length_c 8.6310
_cell_angle_alpha 90.00
_cell_angle_beta 90.00
_cell_angle_gamma 90.00
_symmetry_space_group_name_H-M 'I -4 2 d'
_symmetry_Int_Tables_number 122
_symmetry_space_group_name_Hall 'I -4 2bw'
loop_
_atom_site_label
_atom_site_type_symbol
_atom_site_fract_x
_atom_site_fract_y
_atom_site_fract_z
H1 H 0.1077 0.2500 0.1250
Au1 Au 0.0000 0.0000 0.0000
Cl1 Cl 0.0000 0.0000 0.5000

Record 7
# CuSb2Cl, relaxed, DFT PBE-GGA
# E_form (uncorrected): 76 kJ/mol of formula units
# E above lowest polymorph: 345 meV/atom
data_CuSb2Cl
_cell_length_a 7.1069
_cell_length_b 7.1069
_cell_length_c 7.1069
_cell_angle_alpha 90.00
_cell_angle_beta 90.00
_cell_angle_gamma 90.00
_symmetry_space_group_name_H-M 'F -4 3 m'
_symmetry_Int_Tables_number 216
_symmetry_space_group_name_Hall 'F -4 2 3'
loop_
_atom_site_label
_atom_site_type_symbol
_atom_site_fract_x
_atom_site_fract_y
_atom_site_fract_z
Cu1 Cu 0.0000 0.0000 0.0000
Sb1 Sb 0.0000 0.0000 0.5000
Sb2 Sb 0.2500 0.2500 0.2500
Cl1 Cl 0.2500 0.2500 0.7500

Record 8
# Sc4InPd7, relaxed, DFT PBE-GGA
# ΔE_f: -0.64 eV/atom
data_Sc4InPd7
_cell_length_a 10.6898
_cell_length_b 5.0002
_cell_length_c 9.7749
_cell_angle_alpha 90.00
_cell_angle_beta 119.13
_cell_angle_gamma 90.00
_symmetry_space_group_name_H-M 'C 1 2/m 1'
_symmetry_Int_Tables_number 12
_symmetry_space_group_name_Hall '-C 2y'
loop_
_atom_site_label
_atom_site_type_symbol
_atom_site_fract_x
_atom_site_fract_y
_atom_site_fract_z
Sc1 Sc 0.0903 0.0000 0.2796
Sc2 Sc 0.2269 0.5000 0.1479
In1 In 0.0000 0.5000 0.5000
Pd1 Pd 0.0000 0.0000 0.5000
Pd2 Pd 0.0721 0.5000 0.8237
Pd3 Pd 0.1354 0.0000 0.0257
Pd4 Pd 0.2125 0.5000 0.4100